# 1
Al2Zn17 | PBE | optimized geometry

The structure in POSCAR format:
```
Al2Zn17
1.0
4.422 2.553 4.582
-4.422 2.553 4.582
0.000 -5.106 4.582
Al Zn
2 17
direct
0.208 0.208 0.208
0.792 0.792 0.792
0.000 0.500 0.500
0.162 0.500 0.838
0.162 0.838 0.500
0.166 0.166 0.674
0.166 0.674 0.166
0.326 0.834 0.834
0.408 0.408 0.408
0.500 0.000 0.500
0.500 0.162 0.838
0.500 0.500 0.000
0.500 0.838 0.162
0.592 0.592 0.592
0.674 0.166 0.166
0.834 0.326 0.834
0.834 0.834 0.326
0.838 0.162 0.500
0.838 0.500 0.162
```

Output
- Total DFT energy (no corrections): -1.4355 eV per atom

# 2
Al3Zn | PBE | optimized geometry

The structure in POSCAR format:
```
Al3Zn
1.0
4.963 0.000 0.000
0.000 9.464 0.000
0.000 0.000 5.546
Al Zn
12 4
direct
0.081 0.250 0.125
0.248 0.501 0.375
0.248 0.999 0.375
0.252 0.001 0.875
0.252 0.499 0.875
0.419 0.750 0.625
0.581 0.250 0.375
0.748 0.501 0.125
0.748 0.999 0.125
0.752 0.001 0.625
0.752 0.499 0.625
0.919 0.750 0.875
0.082 0.250 0.624
0.418 0.750 0.124
0.582 0.250 0.876
0.918 0.750 0.376
```

Output
- Total DFT energy (no corrections): -3.0961 eV per atom

# 3
Al2Zn | PBE | optimized geometry

The structure in POSCAR format:
```
Al2Zn
1.0
-3.085 3.085 2.627
3.085 -3.085 2.627
3.085 3.085 -2.627
Al Zn
4 2
direct
0.152 0.652 0.805
0.348 0.152 0.500
0.652 0.848 0.500
0.848 0.348 0.195
0.250 0.250 0.000
0.750 0.750 0.000
```

Output
- Total DFT energy (no corrections): -2.8428 eV per atom

# 4
Al7Zn3 | PBE | optimized geometry

The structure in POSCAR format:
```
Al7Zn3
1.0
7.035 -2.067 0.000
7.035 2.067 0.000
-1.044 0.000 5.589
Al Zn
7 3
direct
0.000 0.000 0.000
0.200 0.200 0.600
0.398 0.398 0.196
0.401 0.401 0.698
0.599 0.599 0.302
0.602 0.602 0.804
0.800 0.800 0.400
0.000 0.000 0.500
0.200 0.200 0.102
0.800 0.800 0.898
```

Output
- Total DFT energy (no corrections): -2.9637 eV per atom

# 5
Al7Zn2 | PBE | optimized geometry

The structure in POSCAR format:
```
Al7Zn2
1.0
4.932 0.000 0.000
-2.466 4.271 0.000
0.000 0.000 6.947
Al Zn
7 2
direct
0.000 0.000 0.000
0.000 0.334 0.667
0.000 0.666 0.333
0.334 0.000 0.667
0.334 0.334 0.333
0.666 0.000 0.333
0.666 0.666 0.667
0.333 0.667 0.000
0.667 0.333 0.000
```

Output
- Total DFT energy (no corrections): -3.1820 eV per atom

# 6
Al6Zn | PBE | optimized geometry

The structure in POSCAR format:
```
Al6Zn
1.0
5.492 0.000 0.000
0.000 5.492 0.000
0.000 0.000 8.536
Al Zn
12 2
direct
0.075 0.575 0.140
0.075 0.925 0.860
0.250 0.250 0.352
0.250 0.250 0.648
0.425 0.575 0.860
0.425 0.925 0.140
0.575 0.075 0.860
0.575 0.425 0.140
0.750 0.750 0.352
0.750 0.750 0.648
0.925 0.075 0.140
0.925 0.425 0.860
0.250 0.750 0.500
0.750 0.250 0.500
```

Output
- Offset from the most stable computed form: 0 meV/atom

# 7
Al3Zn | PBE | optimized geometry

The structure in POSCAR format:
```
Al3Zn
1.0
2.832 0.000 0.000
-1.416 2.453 0.000
0.000 0.000 9.464
Al Zn
3 1
direct
0.000 0.000 0.000
0.333 0.667 0.253
0.333 0.667 0.747
0.000 0.000 0.500
```

Output
- Total DFT energy (no corrections): -3.0862 eV per atom

# 8
Al5Zn | PBE | optimized geometry

The structure in POSCAR format:
```
Al5Zn
1.0
4.840 0.000 0.000
-2.420 4.192 0.000
0.000 0.000 4.920
Al Zn
5 1
direct
0.000 0.665 0.000
0.333 0.667 0.500
0.335 0.335 0.000
0.665 0.000 0.000
0.667 0.333 0.500
0.000 0.000 0.500
```

Output
- Offset from the most stable computed form: 50 meV/atom